Compound: Li3CaZn
Source: Alexandria via LeMat-Bulk
Functional: GGA-PBEsol
Structure: relaxed

DOS at the Fermi energy = 3.653 states/eV/cell
Energy = -1.8591 eV/atom
M_tot = 0.0 Bohr magnetons per cell
SG = Pm-3m, No. 221
Formation energy = 0.3 eV/f.u.

Structure (POSCAR):
```
Li3CaZn
1.0
-4.8509 0.3864 -0.4362
0.3757 -0.7213 -4.8176
-0.4454 -4.8168 0.6864
Zn Ca Li
1 1 3
direct
0.0000 0.0000 0.0000 Zn
0.5000 0.5000 0.5000 Ca
0.0000 0.5000 0.0000 Li
0.0000 0.0000 0.5000 Li
0.5000 0.0000 0.0000 Li
```